Density functional theory data (GGA-PBE) for a relaxed structure of InIBr2.

a b c (Å): 7.9969 7.9969 7.9969
angles (deg): 90.00 90.00 90.00
Closest atoms and distances in Å follow each position.
Space group Fm-3m (No. 225)
Unique sites:
1 In 0.0000 0.0000 0.0000 (multiplicity 4)  8 Br 3.46
2 I 0.0000 0.0000 0.5000 (multiplicity 4)  8 Br 3.46
3 Br 0.2500 0.2500 0.2500 (multiplicity 8)  4 In 3.46, 4 I 3.46

Excess energy over the best structure of this formula in the dataset (eV per atom): 0.6972
VASP energy (eV per atom): -1.91
Volume (A^3/atom): 32.0
N(E_F) (states/eV per cell): 18.01
Crystal system: cubic
Energy relative to the elements, uncorrected (eV per atom): 0.00



Density functional theory data (GGA-PBE) for a relaxed structure of InIBr.

a b c (Å): 4.3132 4.3132 7.0603
angles (deg): 90.00 90.00 120.00
Closest atoms and distances in Å follow each position.
Space group P3m1 (No. 156)
Unique sites:
1 In 0.0000 0.0000 0.0000 (multiplicity 1)  3 Br 3.00, 3 I 3.14
2 I 0.3333 0.6667 0.7296 (multiplicity 1)  3 In 3.14
3 Br 0.6667 0.3333 0.2358 (multiplicity 1)  3 In 3.00

VASP energy (eV per atom): -2.47
Volume (A^3/atom): 37.9
N(E_F) (states/eV per cell): 3.78
Crystal system: trigonal
Energy relative to the elements, uncorrected (eV per atom): -0.48